Here is crystalline La2ZnRu at its relaxed geometry from Alexandria via LeMat-Bulk. Energies are from GGA-PBE.

a b c (Å): 3.5997 3.5997 7.6196
angles (deg): 90.00 90.00 90.00
Last column: nearest neighbours and their distance in Å.
Space group P4/mmm (No. 123)
Asymmetric unit:
La1 0.0000 0.0000 0.2309  4 Ru 3.09, 4 Zn 3.27
Zn1 0.5000 0.5000 0.5000  8 La 3.27, 4 Zn 3.60
Ru1 0.5000 0.5000 0.0000  8 La 3.09

V = 98.7 Å³/f.u.
Mass density = 7.472 Mg/m³
Calculated total energy = -5.33 eV per atom
Total moment = 0.000 μB/atom

Here is crystalline LiZnAs2 at its relaxed geometry from Alexandria via LeMat-Bulk. Energies are from GGA-PBE.

a b c (Å): 3.4922 4.1099 10.1814
angles (deg): 90.00 90.00 90.00
Last column: nearest neighbours and their distance in Å.
Space group Imm2 (No. 44)
Asymmetric unit:
Li1 0.0000 0.0000 0.0000  6 As 2.70-2.86, 2 Zn 2.99
Zn1 0.0000 0.5000 0.7864  6 As 2.83-2.85, 2 Li 2.99
As1 0.0000 0.0000 0.5045  2 As 2.61, 4 Li 2.70, 2 Zn 2.83
As2 0.0000 0.5000 0.1955  2 As 2.61, 4 Zn 2.85, 2 Li 2.86

V = 73.1 Å³/f.u.
Mass density = 5.050 Mg/m³
Calculated total energy = -3.25 eV per atom
Total moment = 0.000 μB/atom

Here is crystalline Rb2ZnBi at its relaxed geometry from Alexandria via LeMat-Bulk. Energies are from GGA-PBE.

a b c (Å): 11.8225 7.3729 9.3097
angles (deg): 90.00 112.90 90.00
Last column: nearest neighbours and their distance in Å.
Space group P2_1/c (No. 14)
Asymmetric unit:
Rb1 0.1687 0.2500 0.0866  2 Zn 3.64, 2 Bi 4.05
Rb2 0.2627 0.7500 0.3828  1 Zn 3.40
Zn1 0.4254 0.2494 0.4632  4 Bi 3.08, 1 Rb 3.40
Bi1 0.5000 0.9999 0.2499  4 Zn 3.08

V = 186.9 Å³/f.u.
Mass density = 3.957 Mg/m³
Energy relative to the lowest polymorph listed for this composition = 74.3 meV per atom
Calculated total energy = -1.84 eV per atom
Total moment = 0.000 μB/atom

Number 3 is which compound?
Rb2ZnBi

Among the records above, which one has the lowest mass density?
Rb2ZnBi